Pb3WO after structural relaxation. Source: Alexandria via LeMat-Bulk, functional GGA+U.

Geometry as POSCAR:
```
Pb3WO
1.0
5.452 0.000 0.000
0.000 5.452 0.000
0.000 0.000 5.452
Pb W O
3 1 1
Direct
0.000 0.000 0.500 Pb
0.000 0.500 0.000 Pb
0.500 0.000 0.000 Pb
0.000 0.000 0.000 W
0.500 0.500 0.500 O
```

Output
The electronic total energy is -18.4 eV for the cell shown. The value obtained for the distance to the lowest polymorph of the same formula is 251.6 meV per atom.